Below is a relaxed structure of TlSnBF6, with properties calculated at the PBE level.

Geometry as POSCAR:
```
TlSnBF6
1.0
5.0251 0.0000 0.0000
1.9173 5.0308 0.0000
0.6699 0.0321 7.3767
Tl Sn B F
1 1 1 6
Direct
0.0000 0.0000 0.0000
0.3543 0.3353 0.5963
0.6614 0.6752 0.3287
0.1779 0.5292 0.8375
0.4820 0.7186 0.5001
0.5220 0.8700 0.2025
0.6975 0.4183 0.2700
0.7473 0.1981 0.7035
0.9232 0.6977 0.3592
```

Summary:
* electronic total energy: -5.164 eV per atom
* V: 20.72 Å³/atom
* total magnetization: 0.00 μB/cell
* mass density: 3.988 Mg/m³
* formation energy without anion corrections: -2.4670 eV/atom

Below is a relaxed structure of Na3LaI6, with properties calculated at the PBE level.

Geometry as POSCAR:
```
Na3LaI6
1.0
6.8475 3.9534 5.4245
-6.8475 3.9534 5.4245
0.0000 -7.9068 5.4245
Na La I
6 2 12
Direct
0.0736 0.5820 0.7457
0.2543 0.9264 0.4180
0.4180 0.2543 0.9264
0.5820 0.7457 0.0736
0.7457 0.0736 0.5820
0.9264 0.4180 0.2543
0.0000 0.0000 0.0000
0.5000 0.5000 0.5000
0.0495 0.9073 0.6861
0.0927 0.3139 0.9505
0.1903 0.5795 0.4113
0.3139 0.9505 0.0927
0.4113 0.1903 0.5795
0.4205 0.5887 0.8097
0.5795 0.4113 0.1903
0.5887 0.8097 0.4205
0.6861 0.0495 0.9073
0.8097 0.4205 0.5887
0.9073 0.6861 0.0495
0.9505 0.0927 0.3139
```

Summary:
* electronic total energy: -3.158 eV per atom
* V: 44.05 Å³/atom
* total magnetization: 0.00 μB/cell
* mass density: 3.654 Mg/m³
* relative energy among the computed polymorphs: 0.0 kJ per mole of atoms
* formation energy without anion corrections: -1.3390 eV/atom

Below is a relaxed structure of CrMo2PdN, with properties calculated at the PBE level.

Geometry as POSCAR:
```
CrMo2PdN
1.0
4.1075 0.0000 0.0000
0.0000 4.1075 0.0000
0.0000 0.0000 3.9050
Cr Mo Pd N
1 2 1 1
Direct
0.0000 0.0000 0.0000
0.0000 0.5000 0.5000
0.5000 0.0000 0.5000
0.5000 0.5000 0.0000
0.0000 0.0000 0.5000
```

Summary:
* electronic total energy: -9.108 eV per atom
* V: 13.18 Å³/atom
* total magnetization: 0.98 μB/cell
* mass density: 9.182 Mg/m³
* formation energy without anion corrections: -0.1468 eV/atom

Below is a relaxed structure of Cr2Ir, with properties calculated at the PBE level.

Geometry as POSCAR:
```
Cr2Ir
1.0
0.0000 2.8756 2.8756
2.8756 0.0000 2.8756
2.8756 2.8756 0.0000
Cr Ir
2 1
Direct
0.2500 0.2500 0.2500
0.7500 0.7500 0.7500
0.0000 0.0000 0.0000
```

Summary:
* electronic total energy: -8.815 eV per atom
* V: 15.85 Å³/atom
* total magnetization: 3.10 μB/cell
* formation energy: 0.55 eV per atom
* mass density: 10.343 Mg/m³

V of number 1 (TlSnBF6)? 20.72 Å³/atom

Which of these has the lowest mass density? Na3LaI6

Please write out number 4 again, unchanged.
Below is a relaxed structure of Cr2Ir, with properties calculated at the PBE level.

Geometry as POSCAR:
```
Cr2Ir
1.0
0.0000 2.8756 2.8756
2.8756 0.0000 2.8756
2.8756 2.8756 0.0000
Cr Ir
2 1
Direct
0.2500 0.2500 0.2500
0.7500 0.7500 0.7500
0.0000 0.0000 0.0000
```

Summary:
* electronic total energy: -8.815 eV per atom
* V: 15.85 Å³/atom
* total magnetization: 3.10 μB/cell
* formation energy: 0.55 eV per atom
* mass density: 10.343 Mg/m³